[1]
First-principles (PBE-GGA) data for a relaxed structure of YTm2Pb, as listed in Alexandria.

Properties
Total energy = -20.10 eV/f.u.
Crystal system = orthorhombic
ΔH_f (0 K) = -0.245 eV per atom
Symmetry = Cmcm (63)
Distance to the lowest polymorph of the same formula = 64 meV per atom

a = 4.2514 Å, b = 6.5524 Å, c = 9.2890 Å
α = 90.00°, β = 90.00°, γ = 108.92°
Element x y z (fractional)
1 Y 0.9449 0.8899 0.2500
2 Y 0.0551 0.1101 0.7500
3 Tm 0.3681 0.7360 0.5548
4 Tm 0.6319 0.2640 0.4452
5 Tm 0.3681 0.7360 0.9452
6 Tm 0.6319 0.2640 0.0548
7 Pb 0.7531 0.5061 0.7500
8 Pb 0.2469 0.4939 0.2500


[2]
First-principles (PBE-GGA) data for a relaxed structure of Y3PO6, as listed in Alexandria.

Properties
Total energy = -85.07 eV/f.u.
Crystal system = orthorhombic
Symmetry = Cmc2_1 (36)

a = 5.9273 Å, b = 7.0632 Å, c = 7.0632 Å
α = 103.06°, β = 90.00°, γ = 90.00°
Element x y z (fractional)
1 Y 0.4872 0.9136 0.6942
2 Y 0.9872 0.6942 0.9136
3 Y 0.4549 0.4065 0.5935
4 Y 0.9549 0.5935 0.4065
5 Y 0.9872 0.0864 0.3058
6 Y 0.4872 0.3058 0.0864
7 P 0.0451 0.1716 0.8284
8 P 0.5451 0.8284 0.1716
9 O 0.2206 0.6740 0.6546
10 O 0.7206 0.6546 0.6740
11 O 0.1472 0.3929 0.8976
12 O 0.6472 0.8976 0.3929
13 O 0.2100 0.0490 0.9510
14 O 0.5654 0.2235 0.7765
15 O 0.0654 0.7765 0.2235
16 O 0.7100 0.9510 0.0490
17 O 0.1472 0.1024 0.6071
18 O 0.6472 0.6071 0.1024
19 O 0.2206 0.3454 0.3260
20 O 0.7206 0.3260 0.3454


[3]
First-principles (PBE-GGA) data for a relaxed structure of Ta3AlGe, as listed in Alexandria.

Properties
Total energy = -38.66 eV/f.u.
Crystal system = cubic
ΔH_f (0 K) = 1.051 eV per atom
Symmetry = Pm-3m (221)
Distance to the lowest polymorph of the same formula = 1059 meV per atom

a = 4.7247 Å, b = 4.7247 Å, c = 4.7247 Å
α = 90.00°, β = 90.00°, γ = 90.00°
Element x y z (fractional)
1 Ge 0.0000 0.0000 0.0000
2 Al 0.5000 0.5000 0.5000
3 Ta 0.0000 0.5000 0.0000
4 Ta 0.0000 0.0000 0.5000
5 Ta 0.5000 0.0000 0.0000


[4]
First-principles (PBE-GGA) data for a relaxed structure of Zr4SnRu5, as listed in Alexandria.

Properties
Total energy = -90.15 eV/f.u.
Crystal system = tetragonal
ΔH_f (0 K) = -0.558 eV per atom
Symmetry = P4/mmm (123)

a = 3.2796 Å, b = 3.2796 Å, c = 16.2135 Å
α = 90.00°, β = 90.00°, γ = 90.00°
Element x y z (fractional)
1 Zr 0.0000 0.0000 0.1967
2 Zr 0.0000 0.0000 0.3992
3 Zr 0.0000 0.0000 0.6008
4 Zr 0.0000 0.0000 0.8033
5 Sn 0.0000 0.0000 0.0000
6 Ru 0.5000 0.5000 0.0980
7 Ru 0.5000 0.5000 0.2983
8 Ru 0.5000 0.5000 0.5000
9 Ru 0.5000 0.5000 0.7017
10 Ru 0.5000 0.5000 0.9020


[5]
First-principles (PBE-GGA) data for a relaxed structure of Ac3PrTe4, as listed in Alexandria.

Properties
Total energy = -41.46 eV/f.u.
Crystal system = monoclinic
Symmetry = P2/c (13)

a = 8.1418 Å, b = 8.1628 Å, c = 9.2470 Å
α = 90.00°, β = 90.00°, γ = 108.95°
Element x y z (fractional)
1 Pr 0.7500 0.0000 0.8761
2 Pr 0.2500 0.0000 0.1239
3 Ac 0.7500 0.0000 0.3731
4 Ac 0.2500 0.0000 0.6269
5 Ac 0.7500 0.5000 0.6264
6 Ac 0.7500 0.5000 0.1244
7 Ac 0.2500 0.5000 0.3736
8 Ac 0.2500 0.5000 0.8756
9 Te 0.9956 0.2456 0.6287
10 Te 0.5000 0.2424 0.8794
11 Te 0.4956 0.2456 0.3713
12 Te 0.0000 0.2424 0.1206
13 Te 0.0000 0.7576 0.8794
14 Te 0.5044 0.7544 0.6287
15 Te 0.5000 0.7576 0.1206
16 Te 0.0044 0.7544 0.3713


[6]
First-principles (PBE-GGA) data for a relaxed structure of LiAc2Sb, as listed in Alexandria.

Properties
Total energy = -14.97 eV/f.u.
Crystal system = trigonal
Symmetry = R-3m (166)
Distance to the lowest polymorph of the same formula = 333 meV per atom

a = 4.3127 Å, b = 4.3127 Å, c = 11.8690 Å
α = 79.53°, β = 79.53°, γ = 60.00°
Element x y z (fractional)
1 Sb 0.5000 0.5000 0.5000
2 Ac 0.1066 0.1066 0.6801
3 Ac 0.8934 0.8934 0.3199
4 Li 0.0000 0.0000 0.0000